[1]
VASP calculation (PBE) on a relaxed NaCa3Cu crystal.

```
NaCa3Cu
1.0
8.787 -2.021 0.000
8.787 2.021 0.000
-0.049 0.000 9.656
Na Ca Cu
2 6 2
direct
0.096 0.096 0.439 Na
0.904 0.904 0.561 Na
0.110 0.110 0.064 Ca
0.243 0.243 0.725 Ca
0.442 0.442 0.243 Ca
0.558 0.558 0.757 Ca
0.757 0.757 0.275 Ca
0.890 0.890 0.936 Ca
0.283 0.283 0.050 Cu
0.717 0.717 0.950 Cu
```

Summary:
Spin magnetization ... 0.00 μB per formula unit
Space-group type ... C2/m (12)
Energy above the lowest structure with this stoichiometry ... 0.0 kJ/mol of formula units
Energy relative to the elements ... -0.033 eV/atom
Crystal system ... monoclinic

[2]
VASP calculation (PBE) on a relaxed CaNd2Ga crystal.

```
CaNd2Ga
1.0
4.956 0.000 0.000
0.000 4.956 0.000
0.000 0.000 4.772
Ca Nd Ga
1 2 1
direct
0.000 0.000 0.000 Ca
0.000 0.500 0.500 Nd
0.500 0.000 0.500 Nd
0.500 0.500 0.000 Ga
```

Summary:
Spin magnetization ... 0.00 μB per formula unit
Space-group type ... P4/mmm (123)
Energy above the lowest structure with this stoichiometry ... 18.9 kJ/mol of formula units
Energy relative to the elements ... -0.177 eV/atom
Crystal system ... tetragonal

[3]
VASP calculation (PBE) on a relaxed Ac2Pr3Y7 crystal.

```
Ac2Pr3Y7
1.0
6.542 0.000 0.000
0.000 3.638 0.000
-0.110 0.000 17.862
Ac Pr Y
2 3 7
direct
0.004 0.000 0.325 Ac
0.996 0.000 0.675 Ac
0.000 0.000 0.000 Pr
0.490 0.500 0.663 Pr
0.510 0.500 0.337 Pr
0.174 0.500 0.840 Y
0.258 0.000 0.503 Y
0.331 0.000 0.162 Y
0.500 0.500 0.000 Y
0.669 0.000 0.838 Y
0.742 0.000 0.497 Y
0.826 0.500 0.160 Y
```

Summary:
Spin magnetization ... 0.00 μB per formula unit
Space-group type ... P2/m (10)
Energy relative to the elements ... 0.101 eV/atom
Crystal system ... monoclinic

[4]
VASP calculation (PBE) on a relaxed PrB2Pd8 crystal.

```
PrB2Pd8
1.0
5.337 0.000 0.000
0.000 5.337 0.000
0.000 0.000 7.191
Pr B Pd
1 2 8
direct
0.000 0.000 0.000 Pr
0.000 0.500 0.500 B
0.500 0.000 0.500 B
0.253 0.253 0.314 Pd
0.253 0.253 0.686 Pd
0.253 0.747 0.314 Pd
0.253 0.747 0.686 Pd
0.747 0.253 0.314 Pd
0.747 0.253 0.686 Pd
0.747 0.747 0.314 Pd
0.747 0.747 0.686 Pd
```

Summary:
Spin magnetization ... 0.00 μB per formula unit
Space-group type ... P4/mmm (123)
Energy relative to the elements ... 0.004 eV/atom
Crystal system ... tetragonal

[5]
VASP calculation (PBE) on a relaxed Ac2La5Er6 crystal.

```
Ac2La5Er6
1.0
11.976 0.000 0.000
0.000 21.027 0.000
0.000 0.000 3.678
Ac La Er
4 10 12
direct
0.188 0.232 0.000 Ac
0.312 0.732 0.000 Ac
0.688 0.268 0.000 Ac
0.812 0.768 0.000 Ac
0.000 0.500 0.500 La
0.070 0.794 0.500 La
0.199 0.065 0.500 La
0.301 0.565 0.500 La
0.430 0.294 0.500 La
0.500 0.000 0.500 La
0.570 0.706 0.500 La
0.699 0.435 0.500 La
0.801 0.935 0.500 La
0.930 0.206 0.500 La
0.055 0.644 0.000 Er
0.071 0.934 0.000 Er
0.193 0.383 0.500 Er
0.307 0.883 0.500 Er
0.429 0.434 0.000 Er
0.445 0.144 0.000 Er
0.555 0.856 0.000 Er
0.571 0.566 0.000 Er
0.693 0.117 0.500 Er
0.807 0.617 0.500 Er
0.929 0.066 0.000 Er
0.945 0.356 0.000 Er
```

Summary:
Spin magnetization ... 0.00 μB per formula unit
Space-group type ... Pbam (55)
Energy relative to the elements ... 0.107 eV/atom
Crystal system ... orthorhombic

[6]
VASP calculation (PBE) on a relaxed Np4InS8 crystal.

```
Np4InS8
1.0
7.056 -4.027 0.000
7.056 4.027 0.000
-6.917 0.000 7.378
Np In S
4 1 8
direct
0.240 0.240 0.982 Np
0.248 0.752 0.000 Np
0.752 0.248 0.000 Np
0.760 0.760 0.018 Np
0.500 0.500 0.500 In
0.013 0.013 0.190 S
0.019 0.501 0.187 S
0.498 0.498 0.820 S
0.499 0.981 0.813 S
0.501 0.019 0.187 S
0.502 0.502 0.180 S
0.981 0.499 0.813 S
0.987 0.987 0.810 S
```

Summary:
Total energy ... -7.858 eV/atom
Spin magnetization ... 0.00 μB per formula unit
Space-group type ... C2/m (12)
Crystal system ... monoclinic